1.
Density functional theory data (PBE) for crystalline CaAl2As at its relaxed geometry.

a b c (Å): 4.0858 4.4123 9.4864
angles (deg): 90.00 90.00 90.00
Space group Imm2 (No. 44)
Symmetry-distinct sites (fractional):
1 Ca 0.0000 0.0000 0.0000 [2 per cell]
2 Al 0.0000 0.0000 0.5728 [2 per cell]
3 Al 0.0000 0.5000 0.7667 [2 per cell]
4 As 0.0000 0.5000 0.2530 [2 per cell]

The energy of formation is -258 meV per atom. For the energy above the most stable polymorph in this dataset, the calculation gives 0.25 eV/f.u. As for the density of states at the Fermi level: 3.18 states/eV per cell. The calculation puts the volume at 21.4 Å³ per atom.


2.
Density functional theory data (PBE) for crystalline Li3Sm2ScTe6 at its relaxed geometry.

a b c (Å): 7.5114 13.0138 7.4725
angles (deg): 90.00 109.62 90.00
Space group C2/m (No. 12)
Symmetry-distinct sites (fractional):
1 Li 0.0000 0.0000 0.0000 [2 per cell]
2 Li 0.0000 0.3311 0.0000 [4 per cell]
3 Sm 0.0000 0.1665 0.5000 [4 per cell]
4 Sc 0.0000 0.5000 0.5000 [2 per cell]
5 Te 0.2322 0.5000 0.2471 [4 per cell]
6 Te 0.2438 0.3412 0.7552 [8 per cell]

The calculation puts the volume at 28.7 Å³ per atom. As for the formation energy without anion corrections: -28.843 kcal/mol of atoms.


3.
Density functional theory data (PBE) for crystalline Ti2HgAu at its relaxed geometry.

a b c (Å): 7.3589 7.3589 5.8898
angles (deg): 90.00 90.00 90.00
Space group I-42d (No. 122)
Symmetry-distinct sites (fractional):
1 Ti 0.2285 0.2500 0.1250 [8 per cell]
2 Hg 0.0000 0.0000 0.5000 [4 per cell]
3 Au 0.0000 0.0000 0.0000 [4 per cell]

The energy of formation is 206 meV per atom. As for the density of states at the Fermi level: 25.40 states/eV per cell. The calculation puts the volume at 19.9 Å³ per atom.


4.
Density functional theory data (PBE) for crystalline BeRhSeBr2 at its relaxed geometry.

a b c (Å): 5.1286 5.1286 4.7710
angles (deg): 90.00 90.00 90.00
Space group P4/mmm (No. 123)
Symmetry-distinct sites (fractional):
1 Be 0.0000 0.0000 0.0000 [1 per cell]
2 Rh 0.5000 0.5000 0.5000 [1 per cell]
3 Se 0.5000 0.5000 0.0000 [1 per cell]
4 Br 0.0000 0.5000 0.5000 [2 per cell]

For the energy above the most stable polymorph in this dataset, the calculation gives 0.39 eV/f.u. As for the density of states at the Fermi level: 2.59 states/eV per cell. The calculation puts the volume at 25.1 Å³ per atom. As for the formation energy without anion corrections: 13.277 kcal/mol of atoms.


5.
Density functional theory data (PBE) for crystalline KTa2 at its relaxed geometry.

a b c (Å): 5.8075 5.8075 2.6325
angles (deg): 90.00 90.00 90.00
Space group P4/mmm (No. 123)
Symmetry-distinct sites (fractional):
1 K 0.0000 0.0000 0.0000 [1 per cell]
2 Ta 0.0000 0.5000 0.5000 [2 per cell]

The energy of formation is 2946 meV per atom. For the energy above the most stable polymorph in this dataset, the calculation gives 7.19 eV/f.u. As for the density of states at the Fermi level: 3.19 states/eV per cell. The calculation puts the volume at 29.6 Å³ per atom.


6.
Density functional theory data (PBE) for crystalline PmSmBi2 at its relaxed geometry.

a b c (Å): 7.9104 4.5734 7.9116
angles (deg): 90.00 109.56 90.00
Space group C2/m (No. 12)
Symmetry-distinct sites (fractional):
1 Pm 0.0000 0.0000 0.0000 [2 per cell]
2 Sm 0.0000 0.5000 0.5000 [2 per cell]
3 Bi 0.2496 0.0000 0.7486 [4 per cell]

The energy of formation is -933 meV per atom. For the energy above the most stable polymorph in this dataset, the calculation gives 0.00 eV/f.u. As for the density of states at the Fermi level: 1.42 states/eV per cell. The calculation puts the volume at 33.7 Å³ per atom.


7.
Density functional theory data (PBE) for crystalline Np3Tl4HgSe8 at its relaxed geometry.

a b c (Å): 8.4513 8.4513 23.0923
angles (deg): 90.00 90.00 120.00
Space group R-3m (No. 166, hexagonal axes)
Symmetry-distinct sites (fractional):
1 Np 0.0000 0.5000 0.0000 [9 per cell]
2 Tl 0.0000 0.0000 0.5000 [3 per cell]
3 Tl 0.0000 0.5000 0.5000 [9 per cell]
4 Hg 0.0000 0.0000 0.0000 [3 per cell]
5 Se 0.0000 0.0000 0.2656 [6 per cell]
6 Se 0.0103 0.5051 0.2651 [18 per cell]

As for the density of states at the Fermi level: 104.15 states/eV per cell. The calculation puts the volume at 29.8 Å³ per atom. As for the formation energy without anion corrections: -17.191 kcal/mol of atoms.


8.
Density functional theory data (PBE) for crystalline AcNd2Tm6 at its relaxed geometry.

a b c (Å): 11.1467 6.7481 8.7863
angles (deg): 90.00 109.84 90.00
Space group C2/m (No. 12)
Symmetry-distinct sites (fractional):
1 Ac 0.0000 0.0000 0.0000 [2 per cell]
2 Nd 0.2429 0.0000 0.7985 [4 per cell]
3 Tm 0.0991 0.2393 0.4029 [8 per cell]
4 Tm 0.1737 0.5000 0.7593 [4 per cell]

The energy of formation is 187 meV per atom. As for the density of states at the Fermi level: 25.73 states/eV per cell. The calculation puts the volume at 34.5 Å³ per atom.


Among the records above, which one has the lowest volume?
Ti2HgAu


Which value of volume does entry 6 give?
33.7 Å³ per atom